LuPuZnNi: relaxed, PBE.

Lattice parameters (Å, degrees): 4.864 4.864 4.864 60.00 60.00 60.00
Each line ends with the local moment (μB).
Positions (direct):
Ni: 0.000 0.000 0.000  -0.14
Zn: 0.500 0.500 0.500  0.02
Lu: 0.250 0.250 0.250  0.09
Pu: 0.750 0.750 0.750  5.20

Computed properties:
For the magnetization, the calculation gives 5.401 μB/f.u. For the formation energy, the calculation gives -0.17 eV per atom. The value obtained for the calculated density is 11.08 Mg/m³.

PmHoMgPt: relaxed, PBE.

Lattice parameters (Å, degrees): 5.142 5.142 5.142 60.00 60.00 60.00
Positions (direct):
Mg: 0.250 0.250 0.250
Ho: 0.000 0.000 0.000
Pt: 0.750 0.750 0.750
Pm: 0.500 0.500 0.500

Computed properties:
For the magnetization, the calculation gives 0.000 μB/f.u. For the formation energy, the calculation gives -0.56 eV per atom. The value obtained for the calculated density is 9.14 Mg/m³.